1.
! PrCuAgPb | Alexandria | PBE-GGA | relaxed; values from VASP
! * raw total energy: -4.075 eV per atom
! * space group: F-43m (216)
! * ΔE_f: -0.22 eV/atom
! * density of states at the Fermi level: 0.430 states/eV/atom
&SYSTEM
  ibrav = 0, nat = 4, ntyp = 4
/
ATOMIC_SPECIES
Pr 140.91 Pr.upf
Cu 63.55 Cu.upf
Ag 107.87 Ag.upf
Pb 207.20 Pb.upf
CELL_PARAMETERS angstrom
0.000 3.575 3.575
3.575 0.000 3.575
3.575 3.575 0.000
ATOMIC_POSITIONS angstrom
Pr 0.000 0.000 0.000
Cu 5.362 5.362 5.362
Ag 1.787 1.787 1.787
Pb 3.575 3.575 3.575

***

2.
! Ti2SbHRh | Alexandria | PBE-GGA | relaxed; values from VASP
! * raw total energy: -6.641 eV per atom
! * space group: P4/mmm (123)
! * density of states at the Fermi level: 0.927 states/eV/atom
&SYSTEM
  ibrav = 0, nat = 5, ntyp = 4
/
ATOMIC_SPECIES
Ti 47.87 Ti.upf
Sb 121.76 Sb.upf
H 1.01 H.upf
Rh 102.91 Rh.upf
CELL_PARAMETERS angstrom
4.103 0.000 0.000
0.000 4.103 0.000
0.000 0.000 4.080
ATOMIC_POSITIONS angstrom
Ti 0.000 2.052 0.000
Ti 2.052 0.000 0.000
Sb 0.000 0.000 2.040
H 2.052 2.052 0.000
Rh 2.052 2.052 2.040

***

3.
! La3Sm2YAs6 | Alexandria | PBE-GGA | relaxed; values from VASP
! * raw total energy: -6.432 eV per atom
! * space group: C2/m (12)
! * ΔE_f: -1.55 eV/atom
! * density of states at the Fermi level: 0.100 states/eV/atom
&SYSTEM
  ibrav = 0, nat = 12, ntyp = 4
/
ATOMIC_SPECIES
La 138.91 La.upf
Sm 150.36 Sm.upf
Y 88.91 Y.upf
As 74.92 As.upf
CELL_PARAMETERS angstrom
3.708 -6.422 0.000
3.708 6.422 0.000
-2.471 0.000 6.990
ATOMIC_POSITIONS angstrom
La 0.000 0.000 0.000
La 3.708 2.148 0.000
La 3.708 -2.148 0.000
Sm 2.472 4.284 3.495
Sm 2.472 -4.284 3.495
Y 2.472 0.000 3.495
As 1.246 2.123 1.813
As 0.021 0.000 5.181
As 1.246 -2.123 1.813
As 3.698 2.123 5.176
As 4.924 0.000 1.809
As 3.698 -2.123 5.176

***

4.
! PmPr6In2 | Alexandria | PBE-GGA | relaxed; values from VASP
! * raw total energy: -4.402 eV per atom
! * space group: Immm (71)
! * ΔE_f: -0.08 eV/atom
! * density of states at the Fermi level: 1.458 states/eV/atom
! * energy relative to the lowest polymorph listed for this composition: 0.1166 eV/atom
&SYSTEM
  ibrav = 0, nat = 9, ntyp = 3
/
ATOMIC_SPECIES
Pm 145.00 Pm.upf
Pr 140.91 Pr.upf
In 114.82 In.upf
CELL_PARAMETERS angstrom
-1.750 4.802 8.696
1.750 -4.802 8.696
1.750 4.802 -8.696
ATOMIC_POSITIONS angstrom
Pm 0.000 0.000 0.000
Pr 1.750 1.804 -2.974
Pr 1.750 3.239 0.000
Pr 1.750 1.804 2.974
Pr 0.000 2.998 5.722
Pr 0.000 1.563 8.696
Pr 0.000 2.998 11.670
In 1.750 0.000 6.031
In 0.000 4.802 2.665

***

5.
! LaAl2P | Alexandria | PBE-GGA | relaxed; values from VASP
! * raw total energy: -4.665 eV per atom
! * space group: F-43m (216)
! * ΔE_f: -0.21 eV/atom
! * density of states at the Fermi level: 0.623 states/eV/atom
&SYSTEM
  ibrav = 0, nat = 4, ntyp = 3
/
ATOMIC_SPECIES
La 138.91 La.upf
Al 26.98 Al.upf
P 30.97 P.upf
CELL_PARAMETERS angstrom
0.000 3.491 3.491
3.491 0.000 3.491
3.491 3.491 0.000
ATOMIC_POSITIONS angstrom
La 0.000 0.000 0.000
Al 3.491 3.491 3.491
Al 5.237 5.237 5.237
P 1.746 1.746 1.746

***

6.
! MgGaRe3 | Alexandria | PBE-GGA | relaxed; values from VASP
! * raw total energy: -5.909 eV per atom
! * space group: Pm-3m (221)
! * ΔE_f: 2.48 eV/atom
! * density of states at the Fermi level: 1.497 states/eV/atom
! * energy relative to the lowest polymorph listed for this composition: 0.7257 eV/atom
&SYSTEM
  ibrav = 0, nat = 5, ntyp = 3
/
ATOMIC_SPECIES
Mg 24.30 Mg.upf
Ga 69.72 Ga.upf
Re 186.21 Re.upf
CELL_PARAMETERS angstrom
4.497 0.000 0.000
0.000 4.497 0.000
0.000 0.000 4.497
ATOMIC_POSITIONS angstrom
Mg 0.000 0.000 0.000
Ga 2.249 2.249 2.249
Re 0.000 0.000 2.249
Re 0.000 2.249 0.000
Re 2.249 0.000 0.000

***

7.
! LaDy3Tm5 | Alexandria | PBE-GGA | relaxed; values from VASP
! * raw total energy: -4.104 eV per atom
! * space group: C2/m (12)
! * ΔE_f: 0.46 eV/atom
! * density of states at the Fermi level: 1.200 states/eV/atom
! * energy relative to the lowest polymorph listed for this composition: 0.1256 eV/atom
&SYSTEM
  ibrav = 0, nat = 18, ntyp = 3
/
ATOMIC_SPECIES
La 138.91 La.upf
Dy 162.50 Dy.upf
Tm 168.93 Tm.upf
CELL_PARAMETERS angstrom
7.978 -4.344 0.000
7.978 4.344 0.000
-7.484 0.000 9.148
ATOMIC_POSITIONS angstrom
La -0.400 0.000 3.269
La 8.871 0.000 5.879
Dy 0.000 0.000 0.000
Dy -3.742 0.000 4.574
Dy 2.639 0.000 1.783
Dy -0.936 0.000 6.516
Dy 9.407 0.000 2.632
Dy 5.832 0.000 7.366
Tm 4.863 2.779 1.562
Tm 3.608 2.779 7.586
Tm 7.978 1.562 0.000
Tm 5.323 0.000 0.286
Tm 2.616 0.000 5.515
Tm 5.855 0.000 3.634
Tm 3.148 0.000 8.862
Tm 7.978 -1.562 0.000
Tm 4.863 -2.779 1.562
Tm 3.608 -2.779 7.586

***

8.
! Dy2Ga9Pd6 | Alexandria | PBE-GGA | relaxed; values from VASP
! * raw total energy: -4.529 eV per atom
! * space group: P6/mmm (191)
! * ΔE_f: -0.55 eV/atom
! * density of states at the Fermi level: 0.501 states/eV/atom
&SYSTEM
  ibrav = 0, nat = 17, ntyp = 3
/
ATOMIC_SPECIES
Dy 162.50 Dy.upf
Ga 69.72 Ga.upf
Pd 106.42 Pd.upf
CELL_PARAMETERS angstrom
5.346 0.000 0.000
-2.673 4.630 0.000
0.000 0.000 12.813
ATOMIC_POSITIONS angstrom
Dy 0.000 0.000 1.957
Dy 0.000 0.000 10.856
Ga -1.336 2.315 0.000
Ga -1.336 2.315 4.341
Ga -1.336 2.315 8.472
Ga 2.673 0.000 0.000
Ga 2.673 0.000 4.341
Ga 2.673 0.000 8.472
Ga 1.336 2.315 0.000
Ga 1.336 2.315 4.341
Ga 1.336 2.315 8.472
Pd 0.000 3.086 2.199
Pd 0.000 3.086 6.406
Pd 0.000 3.086 10.613
Pd 2.673 1.543 2.199
Pd 2.673 1.543 6.406
Pd 2.673 1.543 10.613

***

9.
! LaSm4Er2 | Alexandria | PBE-GGA | relaxed; values from VASP
! * raw total energy: -4.629 eV per atom
! * space group: P1 (1)
! * ΔE_f: 0.07 eV/atom
! * density of states at the Fermi level: 1.546 states/eV/atom
! * energy relative to the lowest polymorph listed for this composition: 0.0000 eV/atom
&SYSTEM
  ibrav = 0, nat = 14, ntyp = 3
/
ATOMIC_SPECIES
La 138.91 La.upf
Sm 150.36 Sm.upf
Er 167.26 Er.upf
CELL_PARAMETERS angstrom
6.592 0.000 0.000
2.799 8.099 0.000
1.179 -0.115 8.827
ATOMIC_POSITIONS angstrom
La 0.000 0.000 0.000
La 4.299 1.581 7.739
Sm 1.741 4.525 0.471
Sm 1.833 1.694 2.576
Sm 3.686 6.137 2.981
Sm 5.424 5.048 7.199
Sm 5.149 3.274 1.291
Sm 5.216 0.394 3.468
Sm 8.746 6.312 6.307
Sm 7.561 2.654 6.299
Er 5.380 7.849 5.420
Er 3.976 3.306 4.695
Er 6.086 6.905 0.838
Er 6.953 5.035 3.735

***

10.
! NaMg2Tl | Alexandria | PBE-GGA | relaxed; values from VASP
! * raw total energy: -1.570 eV per atom
! * space group: I-42d (122)
! * ΔE_f: 0.15 eV/atom
! * density of states at the Fermi level: 0.317 states/eV/atom
&SYSTEM
  ibrav = 0, nat = 8, ntyp = 3
/
ATOMIC_SPECIES
Na 22.99 Na.upf
Mg 24.30 Mg.upf
Tl 204.38 Tl.upf
CELL_PARAMETERS angstrom
-4.273 4.273 3.138
4.273 -4.273 3.138
4.273 4.273 -3.138
ATOMIC_POSITIONS angstrom
Na 0.000 0.000 0.000
Na 0.000 4.273 1.569
Mg 2.137 -1.886 2.353
Mg 2.387 2.137 0.784
Mg 2.137 6.160 -0.784
Mg 1.886 2.137 3.922
Tl 4.273 0.000 1.569
Tl 0.000 0.000 3.138

***

11.
! V6GaFe2 | Alexandria | PBE-GGA | relaxed; values from VASP
! * raw total energy: -8.159 eV per atom
! * space group: P4/mmm (123)
! * ΔE_f: 0.14 eV/atom
! * density of states at the Fermi level: 1.116 states/eV/atom
&SYSTEM
  ibrav = 0, nat = 9, ntyp = 3
/
ATOMIC_SPECIES
V 50.94 V.upf
Ga 69.72 Ga.upf
Fe 55.84 Fe.upf
CELL_PARAMETERS angstrom
3.999 0.000 0.000
0.000 3.999 0.000
0.000 0.000 7.823
ATOMIC_POSITIONS angstrom
V 0.000 0.000 0.000
V 0.000 2.000 1.676
V 0.000 2.000 6.148
V 2.000 0.000 1.676
V 2.000 0.000 6.148
V 2.000 2.000 0.000
Ga 0.000 0.000 3.912
Fe 2.000 2.000 2.836
Fe 2.000 2.000 4.988

***

12.
! Na3MoIr | Alexandria | PBE-GGA | relaxed; values from VASP
! * raw total energy: -2.641 eV per atom
! * space group: Pm-3m (221)
! * ΔE_f: 2.09 eV/atom
! * density of states at the Fermi level: 0.181 states/eV/atom
! * energy relative to the lowest polymorph listed for this composition: 0.4872 eV/atom
&SYSTEM
  ibrav = 0, nat = 5, ntyp = 3
/
ATOMIC_SPECIES
Na 22.99 Na.upf
Mo 95.94 Mo.upf
Ir 192.22 Ir.upf
CELL_PARAMETERS angstrom
5.518 0.000 0.000
0.000 5.518 0.000
0.000 0.000 5.518
ATOMIC_POSITIONS angstrom
Na 0.000 0.000 2.759
Na 0.000 2.759 0.000
Na 2.759 0.000 0.000
Mo 0.000 0.000 0.000
Ir 2.759 2.759 2.759